Density functional theory data (PBE) for an optimized crystal structure of TaCd5. Values from VASP.

Output
- calculated volume (Å³ per atom) = 20.9
- magnetization (Bohr magnetons per cell) = 0.0
- ΔE_f (meV per atom) = 210

Structure (Quantum ESPRESSO input):
```
&SYSTEM
  ibrav = 0, nat = 6, ntyp = 2
/
ATOMIC_SPECIES
Ta 180.95 Ta.upf
Cd 112.41 Cd.upf
ATOMIC_POSITIONS crystal
Ta 0.000 0.000 0.000
Cd 0.276 0.276 0.040
Cd 0.331 0.331 0.663
Cd 0.601 0.601 0.725
Cd 0.664 0.664 0.324
Cd 0.941 0.941 0.372
CELL_PARAMETERS angstrom
5.795 -1.481 0.000
5.795 1.481 0.000
-2.029 0.000 7.298
```

Density functional theory data (PBE) for an optimized crystal structure of TbPuCuPt. Values from VASP.

Output
- calculated volume (Å³ per atom) = 21.4
- magnetization (Bohr magnetons per cell) = 5.6
- ΔE_f (meV per atom) = -510

Structure (Quantum ESPRESSO input):
```
&SYSTEM
  ibrav = 0, nat = 4, ntyp = 4
/
ATOMIC_SPECIES
Tb 158.93 Tb.upf
Pu 244.00 Pu.upf
Cu 63.55 Cu.upf
Pt 195.08 Pt.upf
ATOMIC_POSITIONS crystal
Tb 0.000 0.000 0.000
Pu 0.500 0.500 0.500
Cu 0.750 0.750 0.750
Pt 0.250 0.250 0.250
CELL_PARAMETERS angstrom
0.000 3.500 3.500
3.500 0.000 3.500
3.500 3.500 0.000
```